SrCuW2 | GGA-PBE | optimized geometry Values from VASP.

Calculated values
- Total moment: 0.00 μB/cell
- Total energy: -6.744 eV/atom
- DOS at the Fermi energy: 2.4 states/eV per cell
- SG: Cmmm

The structure in Quantum ESPRESSO input format:
```
&SYSTEM
  ibrav = 0, nat = 4, ntyp = 3
/
ATOMIC_SPECIES
Cu 63.55 Cu.upf
Sr 87.62 Sr.upf
W 183.84 W.upf
ATOMIC_POSITIONS crystal
Cu 0.500 0.000 0.500
Sr 0.000 0.500 0.500
W 0.000 0.000 0.000
W 0.500 0.500 0.000
CELL_PARAMETERS angstrom
-0.803 1.493 5.561
3.101 -4.622 -1.681
2.226 1.525 -0.088
```